No. 1
{
  "formula": "MgPdBr2",
  "functional": "PBE",
  "state": "optimized geometry",
  "lattice_angstrom": [[6.0193, 0.0000, 0.0000], [0.0000, 6.0193, 0.0000], [0.0000, 0.0000, 12.0202]],
  "species": ["Mg", "Mg", "Mg", "Mg", "Pd", "Pd", "Pd", "Pd", "Br", "Br", "Br", "Br", "Br", "Br", "Br", "Br"],
  "frac_coords": [[0.0000, 0.0000, 0.0000], [0.0000, 0.5000, 0.2500], [0.5000, 0.0000, 0.7500], [0.5000, 0.5000, 0.5000], [0.0000, 0.0000, 0.5000], [0.0000, 0.5000, 0.7500], [0.5000, 0.0000, 0.2500], [0.5000, 0.5000, 0.0000], [0.2348, 0.2500, 0.1250], [0.2500, 0.7348, 0.3750], [0.2500, 0.7652, 0.8750], [0.2652, 0.2500, 0.6250], [0.7348, 0.7500, 0.6250], [0.7500, 0.2348, 0.8750], [0.7500, 0.2652, 0.3750], [0.7652, 0.7500, 0.1250]],
  "e_form_raw_kj_per_mol_atoms": -50,
  "energy_ev_per_atom": -3.053,
  "rho_g_cm3": 4.43,
  "de_polymorph_ev_per_atom": 0.057
}

---

No. 2
{
  "formula": "MgPdBr4",
  "functional": "PBE",
  "state": "optimized geometry",
  "lattice_angstrom": [[14.9470, 0.0000, 0.0000], [0.0000, 3.8895, 0.0000], [-2.6084, 0.0000, 6.1497]],
  "species": ["Mg", "Mg", "Pd", "Pd", "Br", "Br", "Br", "Br", "Br", "Br", "Br", "Br"],
  "frac_coords": [[0.0000, 0.0000, 0.0000], [0.5000, 0.5000, 0.0000], [0.0000, 0.5000, 0.5000], [0.5000, 0.0000, 0.5000], [0.1082, 0.0000, 0.4301], [0.1096, 0.5000, 0.9295], [0.3904, 0.0000, 0.0705], [0.3918, 0.5000, 0.5699], [0.6082, 0.5000, 0.4301], [0.6096, 0.0000, 0.9295], [0.8904, 0.5000, 0.0705], [0.8918, 0.0000, 0.5699]],
  "e_form_raw_kj_per_mol_atoms": -79,
  "energy_ev_per_atom": -3.070,
  "rho_g_cm3": 4.18
}

---

No. 3
{
  "formula": "MgPdBr6",
  "functional": "PBE",
  "state": "optimized geometry",
  "lattice_angstrom": [[3.3032, 1.9071, 5.8169], [-3.3032, 1.9071, 5.8169], [0.0000, -3.8142, 5.8169]],
  "species": ["Mg", "Pd", "Br", "Br", "Br", "Br", "Br", "Br"],
  "frac_coords": [[0.0000, 0.0000, 0.0000], [0.5000, 0.5000, 0.5000], [0.1001, 0.4206, 0.7311], [0.2689, 0.8999, 0.5794], [0.4206, 0.7311, 0.1001], [0.5794, 0.2689, 0.8999], [0.7311, 0.1001, 0.4206], [0.8999, 0.5794, 0.2689]],
  "e_form_raw_kj_per_mol_atoms": -53,
  "energy_ev_per_atom": -2.654,
  "rho_g_cm3": 4.61,
  "de_polymorph_ev_per_atom": 0.021
}

---

No. 4
{
  "formula": "MgPdBr6",
  "functional": "PBE",
  "state": "optimized geometry",
  "lattice_angstrom": [[6.6636, 0.0000, 0.0000], [0.0000, 12.0736, 0.0000], [-2.4624, 0.0000, 6.1596]],
  "species": ["Mg", "Mg", "Pd", "Pd", "Br", "Br", "Br", "Br", "Br", "Br", "Br", "Br", "Br", "Br", "Br", "Br"],
  "frac_coords": [[0.0000, 0.0000, 0.0000], [0.5000, 0.5000, 0.0000], [0.0000, 0.5000, 0.5000], [0.5000, 0.0000, 0.5000], [0.2291, 0.5000, 0.2743], [0.2410, 0.3540, 0.7450], [0.2410, 0.6460, 0.7450], [0.2590, 0.1460, 0.2550], [0.2590, 0.8540, 0.2550], [0.2709, 0.0000, 0.7257], [0.7291, 0.0000, 0.2743], [0.7410, 0.1460, 0.7450], [0.7410, 0.8540, 0.7450], [0.7590, 0.3540, 0.2550], [0.7590, 0.6460, 0.2550], [0.7709, 0.5000, 0.7257]],
  "e_form_raw_kj_per_mol_atoms": -55,
  "energy_ev_per_atom": -2.676,
  "rho_g_cm3": 4.09,
  "de_polymorph_ev_per_atom": 0.000
}

---

No. 5
{
  "formula": "MgPdBr",
  "functional": "PBE",
  "state": "optimized geometry",
  "lattice_angstrom": [[12.2552, 0.0000, 0.0000], [0.0000, 3.4992, 0.0000], [0.0000, 0.0000, 6.1329]],
  "species": ["Mg", "Mg", "Mg", "Mg", "Pd", "Pd", "Pd", "Pd", "Br", "Br", "Br", "Br"],
  "frac_coords": [[0.0000, 0.0000, 0.0000], [0.0000, 0.5000, 0.5000], [0.5000, 0.0000, 0.1290], [0.5000, 0.5000, 0.6290], [0.1373, 0.0000, 0.3310], [0.1373, 0.5000, 0.8310], [0.8627, 0.0000, 0.3310], [0.8627, 0.5000, 0.8310], [0.3587, 0.0000, 0.7986], [0.3587, 0.5000, 0.2986], [0.6413, 0.0000, 0.7986], [0.6413, 0.5000, 0.2986]],
  "e_form_raw_kj_per_mol_atoms": -45,
  "energy_ev_per_atom": -3.287,
  "rho_g_cm3": 5.32
}

---

No. 6
{
  "formula": "MgPdRh2Br",
  "functional": "PBE",
  "state": "optimized geometry",
  "lattice_angstrom": [[4.8854, 0.0000, 0.0000], [0.0000, 4.8854, 0.0000], [0.0000, 0.0000, 4.8920]],
  "species": ["Mg", "Pd", "Rh", "Rh", "Br"],
  "frac_coords": [[0.0000, 0.0000, 0.0000], [0.5000, 0.5000, 0.5000], [0.0000, 0.5000, 0.5000], [0.5000, 0.0000, 0.5000], [0.5000, 0.5000, 0.0000]],
  "e_form_raw_kj_per_mol_atoms": 89,
  "energy_ev_per_atom": -3.713,
  "rho_g_cm3": 5.92
}